PmNdGdAg PBE relaxed; D(E_F) = 5.04 states/eV/cell; space-group type = F-43m, No. 216; energy of formation from the pure elements = 0.079 eV/atom
1.0
5.455 0.000 0.000
2.727 4.724 0.000
2.727 1.575 4.454
Pm Nd Gd Ag
1 1 1 1
Direct
0.750 0.750 0.750
0.500 0.500 0.500
0.000 0.000 0.000
0.250 0.250 0.250

Rb2Bi2Cl PBE relaxed; D(E_F) = 1.72 states/eV/cell; space-group type = I4/mmm, No. 139; formation energy from raw total energies = -0.836 eV/atom
1.0
-3.224 -2.241 -2.148
-0.707 -2.486 3.654
-8.889 4.442 4.043
Rb Cl Bi
2 1 2
Direct
0.592 0.592 0.817
0.408 0.408 0.183
0.000 0.000 0.000
0.750 0.250 0.500
0.250 0.750 0.500

Nb2Tc2Sn PBE relaxed; D(E_F) = 16.29 states/eV/cell; space-group type = P4/mbm, No. 127; energy of formation from the pure elements = 0.112 eV/atom
1.0
-3.422 -6.678 0.575
4.608 -2.813 -5.244
2.050 -0.856 2.261
Tc Nb Sn
4 4 2
Direct
0.137 0.363 0.000
0.363 0.863 0.000
0.863 0.637 0.000
0.637 0.137 0.000
0.841 0.341 0.500
0.341 0.159 0.500
0.159 0.659 0.500
0.659 0.841 0.500
0.000 0.000 0.000
0.500 0.500 0.000

no.,spin magnetization (Bohr magnetons per cell),uncorrected energy (eV/atom)
1,9.2,-6.5336
2,0.0,-3.1444
3,0.0,-8.8624